[1]
Here is RbTiPdCl6 after structural relaxation from the Alexandria database. Energies are from PBE.

## Properties
total DFT energy (no corrections): -4.099 eV/atom
space group: No. 1
raw formation energy: -1306 meV per atom

Cell: 6.5264 7.2932 6.9868 Å, 97.04 93.99 56.08°
Element x y z (fractional)
Ti: 0.3473 0.3263 0.4999
Cl: 0.9964 0.3829 0.2951
Cl: 0.9982 0.6197 0.7055
Cl: 0.6071 0.0688 0.2627
Cl: 0.6098 0.3223 0.7359
Cl: 0.3391 0.0448 0.6438
Cl: 0.3385 0.6164 0.3565
Pd: 0.6545 0.6730 0.5002
Rb: 0.1088 0.9459 0.0004


[2]
Here is Y2MgCdNi after structural relaxation from the Alexandria database. Energies are from PBE.

## Properties
total DFT energy (no corrections): -4.374 eV/atom
space group: No. 123
ΔE_f: -12.55 kJ/mol of atoms

Cell: 5.1489 5.1489 4.9414 Å, 90.00 90.00 90.00°
Element x y z (fractional)
Y: 0.0000 0.5000 0.0000
Y: 0.5000 0.0000 0.0000
Ni: 0.0000 0.0000 0.0000
Mg: 0.0000 0.0000 0.5000
Cd: 0.5000 0.5000 0.5000


[3]
Here is MnSiOsRu after structural relaxation from the Alexandria database. Energies are from PBE.

## Properties
total DFT energy (no corrections): -9.121 eV/atom
space group: No. 216
raw formation energy: -347 meV per atom

Cell: 4.1944 4.1944 4.1944 Å, 60.00 60.00 60.00°
Element x y z (fractional)
Si: 0.5000 0.5000 0.5000
Os: 0.2500 0.2500 0.2500
Ru: 0.7500 0.7500 0.7500
Mn: 0.0000 0.0000 0.0000